Record 1
Material: Re3P
Method: DFT, meta-GGA SCAN
State: PBEsol geometry

Cell: 4.377 4.377 2.920 Å, 90.00 90.00 90.00°
Sites, in units of the cell vectors:
1 Re 0.000 0.000 0.000
2 Re 0.000 0.500 0.500
3 Re 0.500 0.000 0.500
4 P 0.500 0.500 0.000

Calculated values
- final energy (eV/atom) = -55.5937
- formation energy (eV/atom) = 0.3290
- excess energy over the best structure of this formula in the dataset (eV per formula unit) = 1.76

---

Record 2
Material: Li7RuO6
Method: DFT, meta-GGA SCAN
State: PBEsol geometry

Cell: 5.263 5.335 5.741 Å, 90.85 116.08 119.13°
Sites, in units of the cell vectors:
1 Li 0.000 0.000 0.000
2 Li 0.043 0.851 0.423
3 Li 0.151 0.252 0.724
4 Li 0.454 0.749 0.016
5 Li 0.587 0.123 0.379
6 Li 0.690 0.352 0.009
7 Li 0.897 0.596 0.740
8 Ru 0.306 0.502 0.387
9 O 0.141 0.725 0.143
10 O 0.165 0.588 0.622
11 O 0.416 0.391 0.126
12 O 0.455 0.274 0.613
13 O 0.765 0.862 0.602
14 O 0.855 0.128 0.187

Calculated values
- raw formation energy (eV per atom) = -1.907
- final energy (eV/atom) = -8.2600

---

Record 3
Material: CoTc
Method: DFT, meta-GGA SCAN
State: PBEsol geometry

Cell: 3.828 3.828 4.990 Å, 90.00 90.00 120.00°
Sites, in units of the cell vectors:
1 Co 0.333 0.667 0.000
2 Co 0.667 0.333 0.500
3 Tc 0.333 0.667 0.550
4 Tc 0.667 0.333 0.050

Calculated values
- final energy (eV/atom) = -24.9483
- formation energy (eV/atom) = 1.2338
- excess energy over the best structure of this formula in the dataset (eV per formula unit) = 2.34